# meta-GGA SCAN ScP4Rh6, PBEsol geometry
# * ΔE_f: -0.974 eV per atom
# * density: 8.7 g cm⁻³
data_ScP4Rh6
_chemical_formula_sum 'Sc1 P4 Rh6'
_cell_length_a 3.6355
_cell_length_b 6.8976
_cell_length_c 6.8976
_cell_angle_alpha 120.00
_cell_angle_beta 90.00
_cell_angle_gamma 90.00
_space_group_name_H-M_alt 'P 1'
_space_group_IT_number 1
loop_
_space_group_symop_operation_xyz
'x,y,z'
loop_
_atom_site_label
_atom_site_type_symbol
_atom_site_fract_x
_atom_site_fract_y
_atom_site_fract_z
P1 P 0.0000 0.3333 0.6667
P2 P 0.5000 0.8068 0.1791
P3 P 0.5000 0.3723 0.1932
P4 P 0.5000 0.8209 0.6277
Rh1 Rh 0.5000 0.1806 0.3888
Rh2 Rh 0.0000 0.5081 0.4426
Rh3 Rh 0.5000 0.2082 0.8194
Rh4 Rh 0.0000 0.9345 0.4919
Rh5 Rh 0.5000 0.6112 0.7918
Rh6 Rh 0.0000 0.5574 0.0655
Sc1 Sc 0.0000 0.0000 0.0000